# 1
Li2InB | PBE-GGA | optimized geometry

N(E_F) = 0.43 states/eV per atom
V = 15.29 A^3/atom
Theoretical density = 3.8 g cm⁻³
Formation energy from the elements = 535 meV/atom
ΔE to the lowest computed polymorph = 106 meV per atom

Unit cell a=3.675 b=3.675 c=9.422 alpha=78.75 beta=78.75 gamma=90.00
Sites, in units of the cell vectors:
B: 0.500 0.500 0.000
B: 0.250 0.750 0.500
Li: 0.575 0.125 0.250
Li: 0.175 0.625 0.250
Li: 0.375 0.425 0.750
Li: 0.875 0.825 0.750
In: 0.000 0.000 0.000
In: 0.750 0.250 0.500



# 2
MgP2Cl | PBE-GGA | optimized geometry

N(E_F) = 0.35 states/eV per atom
V = 18.03 A^3/atom
Theoretical density = 2.8 g cm⁻³
Formation energy (no corrections) = -0.228 eV/atom
ΔE to the lowest computed polymorph = 347 meV per atom

Unit cell a=6.498 b=6.498 c=6.498 alpha=149.10 beta=149.10 gamma=44.26
Sites, in units of the cell vectors:
Cl: 0.250 0.750 0.500
Mg: 0.750 0.250 0.500
P: 0.000 0.000 0.000
P: 0.500 0.500 0.000



# 3
SiPb2Se | PBE-GGA | optimized geometry

N(E_F) = 0.86 states/eV per atom
V = 36.19 A^3/atom
Theoretical density = 6.0 g cm⁻³
Formation energy (no corrections) = 0.236 eV/atom
ΔE to the lowest computed polymorph = 185 meV per atom

Unit cell a=6.467 b=6.467 c=8.297 alpha=67.06 beta=67.06 gamma=90.00
Sites, in units of the cell vectors:
Pb: 0.606 0.125 0.250
Pb: 0.144 0.625 0.250
Pb: 0.375 0.394 0.750
Pb: 0.875 0.856 0.750
Si: 0.500 0.500 0.000
Si: 0.250 0.750 0.500
Se: 0.000 0.000 0.000
Se: 0.750 0.250 0.500



# 4
CdInSb2 | PBE-GGA | optimized geometry

N(E_F) = 0.64 states/eV per atom
V = 26.81 A^3/atom
Theoretical density = 7.3 g cm⁻³
Formation energy (no corrections) = 0.146 eV/atom

Unit cell a=3.729 b=3.729 c=7.714 alpha=90.00 beta=90.00 gamma=90.00
Sites, in units of the cell vectors:
Sb: 0.000 0.000 0.017
Sb: 0.000 0.000 0.483
Cd: 0.500 0.500 0.250
In: 0.500 0.500 0.750



# 5
PmAgBiTe3 | PBE-GGA | optimized geometry

N(E_F) = 0.41 states/eV per atom
V = 31.35 A^3/atom
Theoretical density = 7.5 g cm⁻³
Formation energy (no corrections) = -0.551 eV/atom

Unit cell a=4.254 b=8.745 c=10.422 alpha=104.00 beta=90.00 gamma=90.00
Sites, in units of the cell vectors:
Pm: 0.250 0.180 0.241
Pm: 0.750 0.820 0.759
Ag: 0.250 0.087 0.587
Ag: 0.750 0.913 0.413
Bi: 0.250 0.688 0.182
Bi: 0.750 0.312 0.818
Te: 0.750 0.911 0.098
Te: 0.250 0.089 0.902
Te: 0.250 0.745 0.528
Te: 0.750 0.255 0.472
Te: 0.750 0.411 0.147
Te: 0.250 0.589 0.853



# 6
RbCd3N | PBE-GGA | optimized geometry

N(E_F) = 0.70 states/eV per atom
V = 25.62 A^3/atom
Theoretical density = 5.7 g cm⁻³
Formation energy (no corrections) = 0.644 eV/atom
ΔE to the lowest computed polymorph = 0 meV per atom

Unit cell a=5.041 b=5.041 c=5.041 alpha=90.00 beta=90.00 gamma=90.00
Sites, in units of the cell vectors:
N: 0.000 0.000 0.000
Rb: 0.500 0.500 0.500
Cd: 0.000 0.500 0.000
Cd: 0.000 0.000 0.500
Cd: 0.500 0.000 0.000